Here is Co4Ni2Pd after structural relaxation from Alexandria via LeMat-Bulk. Energies are from PBE-GGA.

Summary:
Magnetization, μB per cell: 16.4
Calculated density, Mg/m³: 9.201
Electronic total energy, eV per atom: -6.35

a = 2.5584 Å, b = 25.4062 Å, c = 2.5518 Å
α = 90.00°, β = 90.00°, γ = 90.00°
Last column: nearest neighbours and their distance in Å.
Space group Cmmm (No. 65)
Symmetry-distinct sites (fractional):
Co 0.0000 0.0777 0.0000 [4 per cell]  8 Co 2.45-2.56, 4 Pd 2.68
Co 0.0000 0.3571 0.5000 [4 per cell]  8 Co 2.45-2.56, 4 Ni 2.47
Ni 0.0000 0.2095 0.0000 [4 per cell]  6 Ni 2.42-2.56, 4 Co 2.47
Pd 0.0000 0.5000 0.5000 [2 per cell]  4 Pd 2.55-2.56, 8 Co 2.68